<one>
DFT (GGA-PBE) results for a geometry-optimized PaSi2Pt4 structure.

The value obtained for the calculated volume is 117 Å³ per cell. Its space group is Cmmm. The magnetization comes out at 0.000 Bohr magnetons per cell.

Lattice parameters (Å, degrees): 4.0820 4.0953 7.3116 106.26 90.00 90.00
With the nearest neighbours (Å) after each atom.
Element x y z (fractional)
Pa 0.0000 0.0000 0.0000  8 Si 3.11, 8 Pt 3.16-3.17
Si 0.5000 0.5812 0.1623  1 Si 2.28, 4 Pt 2.40-2.42
Si 0.5000 0.4188 0.8377  1 Si 2.28, 4 Pt 2.40-2.42
Pt 0.5000 0.8273 0.6545  2 Si 2.42
Pt 0.0000 0.6714 0.3427  2 Si 2.40
Pt 0.5000 0.1727 0.3455  2 Si 2.42
Pt 0.0000 0.3286 0.6573  2 Si 2.40

<two>
DFT (GGA-PBE) results for a geometry-optimized PaSi2Pt4 structure.

The value obtained for the calculated volume is 478 Å³ per cell. Its space group is Pnma. The magnetization comes out at 0.000 Bohr magnetons per cell.

Lattice parameters (Å, degrees): 4.2290 6.7637 16.7207 90.00 90.00 90.00
With the nearest neighbours (Å) after each atom.
Element x y z (fractional)
Pa 0.7500 0.9729 0.6429  9 Pt 2.92-3.25, 3 Si 3.22-3.25
Pa 0.2500 0.0271 0.3571  9 Pt 2.92-3.25, 3 Si 3.22-3.25
Pa 0.2500 0.4729 0.8571  9 Pt 2.92-3.25, 3 Si 3.22-3.25
Pa 0.7500 0.5271 0.1429  9 Pt 2.92-3.25, 3 Si 3.22-3.25
Si 0.2500 0.7400 0.5323  7 Pt 2.44-2.61
Si 0.7500 0.2600 0.4677  7 Pt 2.44-2.61
Si 0.7500 0.2400 0.9677  7 Pt 2.44-2.61
Si 0.2500 0.7600 0.0323  7 Pt 2.44-2.61
Si 0.2500 0.9287 0.7958  6 Pt 2.45-2.63
Si 0.7500 0.0713 0.2042  6 Pt 2.45-2.63
Si 0.7500 0.4287 0.7042  6 Pt 2.45-2.63
Si 0.2500 0.5713 0.2958  6 Pt 2.45-2.63
Pt 0.2500 0.2245 0.7115  3 Si 2.45-2.53
Pt 0.7500 0.7755 0.2885  3 Si 2.45-2.53
Pt 0.7500 0.7245 0.7885  3 Si 2.45-2.53
Pt 0.2500 0.2755 0.2115  3 Si 2.45-2.53
Pt 0.2500 0.6487 0.6749  3 Si 2.46-2.63
Pt 0.7500 0.3513 0.3251  3 Si 2.46-2.63
Pt 0.7500 0.1487 0.8251  3 Si 2.46-2.63
Pt 0.2500 0.8513 0.1749  3 Si 2.46-2.63
Pt 0.2500 0.1094 0.5363  3 Si 2.50-2.61
Pt 0.7500 0.8906 0.4637  3 Si 2.50-2.61
Pt 0.7500 0.6094 0.9637  3 Si 2.50-2.61
Pt 0.2500 0.3906 0.0363  3 Si 2.50-2.61
Pt 0.2500 0.4639 0.4384  4 Si 2.44-2.57
Pt 0.7500 0.5361 0.5616  4 Si 2.44-2.57
Pt 0.7500 0.9639 0.0616  4 Si 2.44-2.57
Pt 0.2500 0.0361 0.9384  4 Si 2.44-2.57

Which one sits at the top of the stability order? <two> does.

<one>
DFT (GGA-PBE) results for a geometry-optimized Pa2SnPt structure.

The value obtained for the calculated volume is 95 Å³ per cell. Its space group is P4/mmm. The magnetization comes out at 1.370 Bohr magnetons per cell.

Lattice parameters (Å, degrees): 3.0365 5.5820 5.5820 90.00 90.00 90.00
With the nearest neighbours (Å) after each atom.
Element x y z (fractional)
Pa 0.0000 0.0000 0.5000  2 Pa 3.04, 4 Pt 3.18, 4 Sn 3.18
Pa 0.0000 0.5000 0.0000  2 Pa 3.04, 4 Pt 3.18, 4 Sn 3.18
Sn 0.5000 0.0000 0.0000  2 Sn 3.04, 8 Pa 3.18
Pt 0.5000 0.5000 0.5000  2 Pt 3.04, 8 Pa 3.18

<two>
DFT (GGA-PBE) results for a geometry-optimized Pa2SnPt structure.

The value obtained for the calculated volume is 95 Å³ per cell. Its space group is R-3m. The magnetization comes out at 0.523 Bohr magnetons per cell.

Lattice parameters (Å, degrees): 3.1752 3.1752 11.0654 81.75 81.75 60.00
With the nearest neighbours (Å) after each atom.
Element x y z (fractional)
Pa 0.0824 0.0824 0.7528  1 Pt 2.70
Pa 0.9176 0.9176 0.2472  1 Pt 2.70
Sn 0.5000 0.5000 0.5000  6 Sn 3.18, 6 Pa 3.31
Pt 0.0000 0.0000 0.0000  2 Pa 2.70

Which one sits at the top of the stability order? <one> does.

<one>
DFT (GGA-PBE) results for a geometry-optimized PaSn2Pt structure.

The value obtained for the calculated volume is 90 Å³ per cell. Its space group is P4/mmm. The magnetization comes out at 0.002 Bohr magnetons per cell.

Lattice parameters (Å, degrees): 4.4670 4.4889 4.4889 90.00 90.00 90.00
With the nearest neighbours (Å) after each atom.
Element x y z (fractional)
Pa 0.5000 0.5000 0.5000  8 Sn 3.17, 4 Pt 3.17
Sn 0.0000 0.0000 0.5000  4 Pt 3.17, 4 Pa 3.17, 4 Sn 3.17
Sn 0.0000 0.5000 0.0000  4 Pa 3.17, 4 Pt 3.17, 4 Sn 3.17
Pt 0.5000 0.0000 0.0000  8 Sn 3.17, 4 Pa 3.17

<two>
DFT (GGA-PBE) results for a geometry-optimized PaSn2Pt structure.

The value obtained for the calculated volume is 187 Å³ per cell. Its space group is P4/nmm. The magnetization comes out at 0.000 Bohr magnetons per cell.

Lattice parameters (Å, degrees): 4.5465 4.5465 9.0359 90.00 90.00 90.00
With the nearest neighbours (Å) after each atom.
Element x y z (fractional)
Pa 0.0000 0.5000 0.2153  4 Pt 2.99, 4 Sn 3.22
Pa 0.5000 0.0000 0.7847  4 Pt 2.99, 4 Sn 3.22
Sn 0.0000 0.0000 0.5000  8 Sn 3.21-3.54, 4 Pa 3.43
Sn 0.5000 0.5000 0.5000  8 Sn 3.21-3.54, 4 Pa 3.43
Sn 0.0000 0.5000 0.8002  4 Pt 2.90, 4 Pa 3.22
Sn 0.5000 0.0000 0.1998  4 Pt 2.90, 4 Pa 3.22
Pt 0.0000 0.0000 0.0000  4 Sn 2.90, 4 Pa 2.99, 4 Pt 3.21
Pt 0.5000 0.5000 0.0000  4 Sn 2.90, 4 Pa 2.99, 4 Pt 3.21

Which one sits at the top of the stability order? <two> does.

<one>
DFT (GGA-PBE) results for a geometry-optimized SrPaPt2 structure.

The value obtained for the calculated volume is 106 Å³ per cell. Its space group is R3m. The magnetization comes out at 0.000 Bohr magnetons per cell.

Lattice parameters (Å, degrees): 4.0367 4.0367 7.8734 75.15 75.15 60.00
With the nearest neighbours (Å) after each atom.
Element x y z (fractional)
Sr 0.4973 0.4973 0.5081  6 Pt 3.14-3.25
Pa 0.6679 0.6679 0.9962  6 Pt 2.81-2.82
Pt 0.0706 0.0706 0.7883  3 Pa 2.81, 3 Sr 3.14
Pt 0.2642 0.2642 0.2073  3 Pa 2.82

<two>
DFT (GGA-PBE) results for a geometry-optimized SrPaPt2 structure.

The value obtained for the calculated volume is 106 Å³ per cell. Its space group is R-3m. The magnetization comes out at 0.000 Bohr magnetons per cell.

Lattice parameters (Å, degrees): 4.0846 4.0846 7.6760 74.57 74.57 60.00
With the nearest neighbours (Å) after each atom.
Element x y z (fractional)
Sr 0.5000 0.5000 0.5000  6 Pt 3.17
Pa 0.0000 0.0000 0.0000  6 Pt 2.81
Pt 0.2632 0.2632 0.2103  3 Pa 2.81
Pt 0.7368 0.7368 0.7897  3 Pa 2.81

Which one sits at the top of the stability order? <two> does.